No. 1
The following is a DFT calculation (PBE-GGA) of TbY5Pb4 after structural relaxation.

Structure (CIF):
```
data_TbY5Pb4
_space_group_name_H-M_alt 'P 1'
_space_group_IT_number 1
_space_group_name_Hall 'P 1'
_cell_length_a 8.6876
_cell_length_b 8.6876
_cell_length_c 8.0096
_cell_angle_alpha 103.69
_cell_angle_beta 103.69
_cell_angle_gamma 31.81
loop_
_atom_site_label
_atom_site_type_symbol
_atom_site_fract_x
_atom_site_fract_y
_atom_site_fract_z
_atom_site_occupancy
Tb1 Tb 0.0000 0.0000 0.0000 1
Y1 Y 0.0000 0.0000 0.5000 1
Y2 Y 0.1918 0.1918 0.8281 1
Y3 Y 0.3491 0.3491 0.5559 1
Y4 Y 0.6509 0.6509 0.4441 1
Y5 Y 0.8082 0.8082 0.1719 1
Pb1 Pb 0.1903 0.1903 0.2312 1
Pb2 Pb 0.4457 0.4457 0.2270 1
Pb3 Pb 0.5543 0.5543 0.7730 1
Pb4 Pb 0.8097 0.8097 0.7688 1
```

Results
Total DFT energy (no corrections), eV/atom: -5.64
V, A^3/atom: 30.9
M_tot, μB/atom: 0.0000

=====

No. 2
The following is a DFT calculation (PBE-GGA) of Tb4YPb5 after structural relaxation.

Structure (CIF):
```
data_Tb4YPb5
_space_group_name_H-M_alt 'P 1'
_space_group_IT_number 1
_space_group_name_Hall 'P 1'
_cell_length_a 7.7312
_cell_length_b 7.7312
_cell_length_c 7.7312
_cell_angle_alpha 99.59
_cell_angle_beta 99.59
_cell_angle_gamma 131.82
loop_
_atom_site_label
_atom_site_type_symbol
_atom_site_fract_x
_atom_site_fract_y
_atom_site_fract_z
_atom_site_occupancy
Tb1 Tb 0.0999 0.2999 0.3999 1
Tb2 Tb 0.2999 0.9001 0.2000 1
Tb3 Tb 0.7001 0.0999 0.8000 1
Tb4 Tb 0.9001 0.7001 0.6001 1
Y1 Y 0.5023 0.5023 0.0000 1
Pb1 Pb 0.0025 0.0025 0.0000 1
Pb2 Pb 0.1997 0.6003 0.8001 1
Pb3 Pb 0.3996 0.1997 0.5994 1
Pb4 Pb 0.6003 0.8002 0.4006 1
Pb5 Pb 0.8002 0.3996 0.1999 1
```

Results
Total DFT energy (no corrections), eV/atom: -4.71
V, A^3/atom: 31.4
M_tot, μB/atom: 0.0000

=====

No. 3
The following is a DFT calculation (PBE-GGA) of TbY3Pb2 after structural relaxation.

Structure (CIF):
```
data_TbY3Pb2
_space_group_name_H-M_alt 'P 1'
_space_group_IT_number 1
_space_group_name_Hall 'P 1'
_cell_length_a 9.0097
_cell_length_b 9.0097
_cell_length_c 9.0097
_cell_angle_alpha 131.30
_cell_angle_beta 72.19
_cell_angle_gamma 130.23
loop_
_atom_site_label
_atom_site_type_symbol
_atom_site_fract_x
_atom_site_fract_y
_atom_site_fract_z
_atom_site_occupancy
Tb1 Tb 0.0000 0.0000 0.0000 1
Tb2 Tb 0.5000 0.5000 0.0000 1
Y1 Y 0.0397 0.2500 0.7897 1
Y2 Y 0.2500 0.7500 0.5000 1
Y3 Y 0.4603 0.2500 0.2103 1
Y4 Y 0.5397 0.7500 0.7897 1
Y5 Y 0.7500 0.2500 0.5000 1
Y6 Y 0.9603 0.7500 0.2103 1
Pb1 Pb 0.1425 0.6819 0.8244 1
Pb2 Pb 0.3575 0.1819 0.5394 1
Pb3 Pb 0.6425 0.8181 0.4606 1
Pb4 Pb 0.8575 0.3181 0.1756 1
```

Results
Total DFT energy (no corrections), eV/atom: -5.42
V, A^3/atom: 34.2
M_tot, μB/atom: 0.0000

=====

No. 4
The following is a DFT calculation (PBE-GGA) of TbYPb2 after structural relaxation.

Structure (CIF):
```
data_TbYPb2
_space_group_name_H-M_alt 'P 1'
_space_group_IT_number 1
_space_group_name_Hall 'P 1'
_cell_length_a 5.0650
_cell_length_b 5.0650
_cell_length_c 4.4341
_cell_angle_alpha 90.00
_cell_angle_beta 90.00
_cell_angle_gamma 90.00
loop_
_atom_site_label
_atom_site_type_symbol
_atom_site_fract_x
_atom_site_fract_y
_atom_site_fract_z
_atom_site_occupancy
Tb1 Tb 0.0000 0.0000 0.0000 1
Y1 Y 0.5000 0.5000 0.0000 1
Pb1 Pb 0.0000 0.5000 0.5000 1
Pb2 Pb 0.5000 0.0000 0.5000 1
```

Results
Total DFT energy (no corrections), eV/atom: -5.07
V, A^3/atom: 28.4
M_tot, μB/atom: 0.0134

=====

No. 5
The following is a DFT calculation (PBE-GGA) of TbYPb6 after structural relaxation.

Structure (CIF):
```
data_TbYPb6
_space_group_name_H-M_alt 'P 1'
_space_group_IT_number 1
_space_group_name_Hall 'P 1'
_cell_length_a 4.8849
_cell_length_b 4.8849
_cell_length_c 9.7722
_cell_angle_alpha 90.00
_cell_angle_beta 90.00
_cell_angle_gamma 90.00
loop_
_atom_site_label
_atom_site_type_symbol
_atom_site_fract_x
_atom_site_fract_y
_atom_site_fract_z
_atom_site_occupancy
Tb1 Tb 0.0000 0.0000 0.0000 1
Y1 Y 0.0000 0.0000 0.5000 1
Pb1 Pb 0.0000 0.5000 0.2500 1
Pb2 Pb 0.0000 0.5000 0.7500 1
Pb3 Pb 0.5000 0.0000 0.2500 1
Pb4 Pb 0.5000 0.0000 0.7500 1
Pb5 Pb 0.5000 0.5000 0.0000 1
Pb6 Pb 0.5000 0.5000 0.5000 1
```

Results
Total DFT energy (no corrections), eV/atom: -4.46
V, A^3/atom: 29.1
M_tot, μB/atom: 0.0000

=====

No. 6
The following is a DFT calculation (PBE-GGA) of Tb3YPb2 after structural relaxation.

Structure (CIF):
```
data_Tb3YPb2
_space_group_name_H-M_alt 'P 1'
_space_group_IT_number 1
_space_group_name_Hall 'P 1'
_cell_length_a 8.3797
_cell_length_b 8.3797
_cell_length_c 4.4252
_cell_angle_alpha 90.00
_cell_angle_beta 90.00
_cell_angle_gamma 145.76
loop_
_atom_site_label
_atom_site_type_symbol
_atom_site_fract_x
_atom_site_fract_y
_atom_site_fract_z
_atom_site_occupancy
Tb1 Tb 0.0000 0.0000 0.0000 1
Tb2 Tb 0.3245 0.6755 0.0000 1
Tb3 Tb 0.6755 0.3245 0.0000 1
Y1 Y 0.5000 0.5000 0.5000 1
Pb1 Pb 0.1506 0.8494 0.5000 1
Pb2 Pb 0.8494 0.1506 0.5000 1
```

Results
Energy above the most stable polymorph in this dataset, meV/atom: 55
Total DFT energy (no corrections), eV/atom: -5.01
V, A^3/atom: 29.1
M_tot, μB/atom: 0.0580

=====

No. 7
The following is a DFT calculation (PBE-GGA) of TbY2Pb9 after structural relaxation.

Structure (CIF):
```
data_TbY2Pb9
_space_group_name_H-M_alt 'P 1'
_space_group_IT_number 1
_space_group_name_Hall 'P 1'
_cell_length_a 4.8856
_cell_length_b 4.8856
_cell_length_c 14.6581
_cell_angle_alpha 90.00
_cell_angle_beta 90.00
_cell_angle_gamma 90.00
loop_
_atom_site_label
_atom_site_type_symbol
_atom_site_fract_x
_atom_site_fract_y
_atom_site_fract_z
_atom_site_occupancy
Tb1 Tb 0.0000 0.0000 0.0000 1
Y1 Y 0.0000 0.0000 0.3329 1
Y2 Y 0.0000 0.0000 0.6671 1
Pb1 Pb 0.0000 0.5000 0.1666 1
Pb2 Pb 0.0000 0.5000 0.5000 1
Pb3 Pb 0.0000 0.5000 0.8334 1
Pb4 Pb 0.5000 0.0000 0.1666 1
Pb5 Pb 0.5000 0.0000 0.5000 1
Pb6 Pb 0.5000 0.0000 0.8334 1
Pb7 Pb 0.5000 0.5000 0.0000 1
Pb8 Pb 0.5000 0.5000 0.3334 1
Pb9 Pb 0.5000 0.5000 0.6666 1
```

Results
Total DFT energy (no corrections), eV/atom: -4.54
V, A^3/atom: 29.2
M_tot, μB/atom: 0.0000

=====

No. 8
The following is a DFT calculation (PBE-GGA) of TbYZnPb after structural relaxation.

Structure (CIF):
```
data_TbYZnPb
_space_group_name_H-M_alt 'P 1'
_space_group_IT_number 1
_space_group_name_Hall 'P 1'
_cell_length_a 5.2547
_cell_length_b 5.2547
_cell_length_c 5.2547
_cell_angle_alpha 60.00
_cell_angle_beta 60.00
_cell_angle_gamma 60.00
loop_
_atom_site_label
_atom_site_type_symbol
_atom_site_fract_x
_atom_site_fract_y
_atom_site_fract_z
_atom_site_occupancy
Tb1 Tb 0.0000 0.0000 0.0000 1
Y1 Y 0.5000 0.5000 0.5000 1
Zn1 Zn 0.7500 0.7500 0.7500 1
Pb1 Pb 0.2500 0.2500 0.2500 1
```

Results
Total DFT energy (no corrections), eV/atom: -4.41
V, A^3/atom: 25.6
M_tot, μB/atom: 0.0000

=====

No. 9
The following is a DFT calculation (PBE-GGA) of TbZnPb after structural relaxation.

Structure (CIF):
```
data_TbZnPb
_space_group_name_H-M_alt 'P 1'
_space_group_IT_number 1
_space_group_name_Hall 'P 1'
_cell_length_a 9.5433
_cell_length_b 9.5433
_cell_length_c 9.5433
_cell_angle_alpha 27.09
_cell_angle_beta 27.09
_cell_angle_gamma 27.09
loop_
_atom_site_label
_atom_site_type_symbol
_atom_site_fract_x
_atom_site_fract_y
_atom_site_fract_z
_atom_site_occupancy
Tb1 Tb 0.0633 0.0633 0.0633 1
Tb2 Tb 0.9367 0.9367 0.9367 1
Zn1 Zn 0.3358 0.3358 0.3358 1
Zn2 Zn 0.6642 0.6642 0.6642 1
Pb1 Pb 0.1966 0.1966 0.1966 1
Pb2 Pb 0.8034 0.8034 0.8034 1
```

Results
Total DFT energy (no corrections), eV/atom: -3.46
V, A^3/atom: 26.5
M_tot, μB/atom: 0.0000

=====

No. 10
The following is a DFT calculation (PBE-GGA) of TbZnPb after structural relaxation.

Structure (CIF):
```
data_TbZnPb
_space_group_name_H-M_alt 'P 1'
_space_group_IT_number 1
_space_group_name_Hall 'P 1'
_cell_length_a 8.5103
_cell_length_b 8.5103
_cell_length_c 4.2664
_cell_angle_alpha 90.00
_cell_angle_beta 90.00
_cell_angle_gamma 150.46
loop_
_atom_site_label
_atom_site_type_symbol
_atom_site_fract_x
_atom_site_fract_y
_atom_site_fract_z
_atom_site_occupancy
Tb1 Tb 0.0917 0.9083 0.7500 1
Tb2 Tb 0.9083 0.0917 0.2500 1
Zn1 Zn 0.4584 0.5416 0.7500 1
Zn2 Zn 0.5416 0.4584 0.2500 1
Pb1 Pb 0.2892 0.7108 0.7500 1
Pb2 Pb 0.7108 0.2892 0.2500 1
```

Results
Total DFT energy (no corrections), eV/atom: -3.51
V, A^3/atom: 25.4
M_tot, μB/atom: 0.0000

=====

Which value of V does entry 3 give?
34.2 A^3/atom

=====

Among the records above, which one has the lowest V?
number 10

=====

Which of these has the lowest total DFT energy (no corrections)?
TbY5Pb4